PmY2Se3 (PBE-GGA, optimized geometry); formation energy (no corrections) = -1786 meV per atom; space-group type = No. 71
1.0
-1.1973 -0.4569 3.9255
-4.9076 -2.5649 -1.7955
5.8567 -4.0039 -0.8516
Se Pm Y
3 1 2
direct
0.1736 0.6736 0.8472
0.8264 0.3264 0.1528
0.5000 0.0000 0.5000
0.5000 0.5000 0.5000
0.8387 0.8387 0.1774
0.1613 0.1613 0.8226

=====

NdSn2As2Pd7 (PBE-GGA, optimized geometry); ΔE_f = -431 meV per atom; space-group type = No. 12
1.0
4.2489 0.0127 0.2093
0.0179 4.2489 0.2093
2.7617 2.7583 12.8825
Pd Nd Sn As
7 1 2 2
direct
0.3652 0.8608 0.1693
0.5000 0.5000 0.0000
0.6348 0.1392 0.8307
0.1392 0.6348 0.8307
0.2499 0.2499 0.4722
0.8608 0.3652 0.1693
0.7501 0.7501 0.5278
0.0000 0.0000 0.0000
0.2767 0.2767 0.6632
0.7233 0.7233 0.3368
0.2707 0.2707 0.2831
0.7293 0.7293 0.7169

=====

Zr3BiH (PBE-GGA, optimized geometry); ΔE to the lowest computed polymorph = 83 meV per atom; space-group type = No. 15
1.0
-0.7176 -7.1155 9.1773
-0.1368 -8.3392 -0.4729
5.3182 -1.0011 -6.3638
Zr H Bi
12 4 4
direct
0.4700 0.0788 0.2746
0.1033 0.9555 0.9067
0.9700 0.2254 0.4212
0.5300 0.9212 0.7254
0.0952 0.2103 0.1658
0.8967 0.0445 0.0933
0.4048 0.6658 0.7103
0.3967 0.4067 0.4555
0.5952 0.3342 0.2897
0.9048 0.7897 0.8342
0.0300 0.7746 0.5788
0.6033 0.5933 0.5445
0.7500 0.4282 0.9282
0.2500 0.5718 0.0718
0.7500 0.1848 0.6848
0.2500 0.8152 0.3152
0.9813 0.4523 0.7024
0.0187 0.5477 0.2976
0.4813 0.7976 0.0477
0.5187 0.2024 0.9523

=====

CoAuSeBr2 (PBE-GGA, optimized geometry); ΔE to the lowest computed polymorph = 0 meV per atom; formation energy (no corrections) = 406 meV per atom; space-group type = No. 123
1.0
5.0817 0.0000 0.0000
0.0000 5.0817 0.0000
0.0000 0.0000 4.4351
Br Co Se Au
2 1 1 1
direct
0.0000 0.5000 0.0000
0.5000 0.0000 0.0000
0.0000 0.0000 0.0000
0.0000 0.0000 0.5000
0.5000 0.5000 0.5000

=====

CsMnAsI6 (PBE-GGA, optimized geometry); formation energy (no corrections) = -561 meV per atom; space-group type = No. 149
1.0
7.5114 0.0003 0.0002
3.7560 6.5048 -0.0001
0.0004 -0.0006 8.8111
I As Mn Cs
6 1 1 1
direct
0.3703 0.0001 0.6885
0.6296 0.3703 0.6885
0.3703 0.6297 0.3115
0.0000 0.6297 0.6885
0.0000 0.3703 0.3115
0.6296 0.0000 0.3115
0.3333 0.3333 0.5000
0.6666 0.6666 0.5000
0.0000 0.0000 0.0000